VASP calculation (PBE-GGA) on a relaxed structure of HfNbW2.

Results
- Energy of formation: 817 meV per atom

Lattice parameters (Å, degrees): 7.4236 7.4236 5.9432 51.35 51.35 90.00
With the nearest neighbours (Å) after each atom.
Fractional positions:
W 0.8750 0.8585 0.7500  2 Nb 2.63, 2 W 2.80, 2 Hf 2.80
Nb 0.2500 0.7500 0.5000  4 W 2.63, 2 Hf 2.79
Nb 0.5000 0.5000 0.0000  4 W 2.63, 2 Hf 2.79
Hf 0.7500 0.2500 0.5000  2 Nb 2.79, 4 W 2.80
W 0.3750 0.3915 0.7500  2 Nb 2.63, 2 W 2.80, 2 Hf 2.80
Hf 0.0000 0.0000 0.0000  2 Nb 2.79, 4 W 2.80
W 0.1415 0.6250 0.2500  2 Nb 2.63, 2 W 2.80, 2 Hf 2.80
W 0.6085 0.1250 0.2500  2 Nb 2.63, 2 W 2.80, 2 Hf 2.80

VASP calculation (PBE-GGA) on a relaxed structure of YTmPuSc.

Results
- Energy of formation: 173 meV per atom

Lattice parameters (Å, degrees): 5.4443 5.4443 5.4443 60.00 60.00 60.00
With the nearest neighbours (Å) after each atom.
Fractional positions:
Sc 0.0000 0.0000 0.0000  4 Pu 3.33, 4 Y 3.33
Pu 0.7500 0.7500 0.7500  4 Sc 3.33, 4 Tm 3.33
Y 0.2500 0.2500 0.2500  4 Sc 3.33, 4 Tm 3.33
Tm 0.5000 0.5000 0.5000  4 Y 3.33, 4 Pu 3.33

VASP calculation (PBE-GGA) on a relaxed structure of Ir2WAu2.

Results
- Offset from the most stable computed form: 5.22 kcal/mol of atoms
- Energy of formation: 763 meV per atom

Lattice parameters (Å, degrees): 3.5863 3.5863 7.4145 76.00 76.00 90.00
With the nearest neighbours (Å) after each atom.
Fractional positions:
W 0.0000 0.0000 0.0000  8 Ir 2.84
Ir 0.4087 0.4087 0.1827  1 Ir 2.55, 4 W 2.84, 4 Au 2.85
Ir 0.5913 0.5913 0.8173  1 Ir 2.55, 4 W 2.84, 4 Au 2.85
Au 0.2500 0.7500 0.5000  4 Au 2.54
Au 0.7500 0.2500 0.5000  4 Au 2.54

VASP calculation (PBE-GGA) on a relaxed structure of Zn4SnAu5.

Results
- Energy of formation: -161 meV per atom

Lattice parameters (Å, degrees): 3.2565 3.2565 16.4589 90.00 90.00 90.00
With the nearest neighbours (Å) after each atom.
Fractional positions:
Au 0.5000 0.5000 0.6879  8 Zn 2.77, 2 Au 3.06-3.09
Sn 0.0000 0.0000 0.0000  8 Au 3.10, 4 Sn 3.26
Zn 0.0000 0.0000 0.7815  8 Au 2.76-2.77, 1 Zn 3.09
Au 0.5000 0.5000 0.1260  4 Zn 2.76, 1 Au 3.06
Zn 0.0000 0.0000 0.5939  8 Au 2.77, 2 Zn 3.09
Au 0.5000 0.5000 0.5000  8 Zn 2.77, 2 Au 3.09
Au 0.5000 0.5000 0.8740  4 Zn 2.76, 1 Au 3.06
Zn 0.0000 0.0000 0.2185  8 Au 2.76-2.77, 1 Zn 3.09
Au 0.5000 0.5000 0.3121  8 Zn 2.77, 2 Au 3.06-3.09
Zn 0.0000 0.0000 0.4061  8 Au 2.77, 2 Zn 3.09

VASP calculation (PBE-GGA) on a relaxed structure of CaBe2Ge2.

Results
- Offset from the most stable computed form: 0.59 kcal/mol of atoms
- Energy of formation: -243 meV per atom

Lattice parameters (Å, degrees): 4.0194 4.0194 5.7565 69.57 69.57 90.00
With the nearest neighbours (Å) after each atom.
Fractional positions:
Ca 0.0000 0.0000 0.0000  8 Ge 3.12, 8 Be 3.21
Ge 0.6274 0.6274 0.7452  4 Be 2.35, 1 Ge 2.55
Be 0.2500 0.7500 0.5000  4 Ge 2.35
Be 0.7500 0.2500 0.5000  4 Ge 2.35
Ge 0.3726 0.3726 0.2548  4 Be 2.35, 1 Ge 2.55

VASP calculation (PBE-GGA) on a relaxed structure of SiOsSe2.

Results
- Energy relative to the elements, uncorrected: 0.644 eV/atom

Lattice parameters (Å, degrees): 2.9939 2.9939 8.0932 90.00 90.00 90.00
With the nearest neighbours (Å) after each atom.
Fractional positions:
Si 0.5000 0.5000 0.2500  4 Si 2.99, 8 Se 3.22
Se 0.0000 0.0000 0.9504  4 Os 2.67
Se 0.0000 0.0000 0.5496  4 Os 2.67
Os 0.5000 0.5000 0.7500  8 Se 2.67

VASP calculation (PBE-GGA) on a relaxed structure of RuCI2N.

Results
- Energy relative to the elements, uncorrected: 1.564 eV/atom
- Offset from the most stable computed form: 0.00 kcal/mol of atoms

Lattice parameters (Å, degrees): 6.4097 6.4097 2.6763 90.00 90.00 90.00
With the nearest neighbours (Å) after each atom.
Fractional positions:
I 0.0000 0.5000 0.0000  2 I 2.68
Ru 0.5000 0.5000 0.5000  2 Ru 2.68
C 0.0000 0.0000 0.0000  2 N 1.34
I 0.5000 0.0000 0.0000  2 I 2.68
N 0.0000 0.0000 0.5000  2 C 1.34

VASP calculation (PBE-GGA) on a relaxed structure of AlPtBr2.

Results
- Energy relative to the elements, uncorrected: -0.222 eV/atom
- Offset from the most stable computed form: 6.04 kcal/mol of atoms

Lattice parameters (Å, degrees): 3.3974 3.3974 9.3628 90.00 90.00 116.53
With the nearest neighbours (Å) after each atom.
Fractional positions:
Pt 0.0000 0.0000 0.5438  2 Al 2.41
Al 0.5000 0.5000 0.7160  2 Pt 2.41, 2 Br 2.60
Br 0.5000 0.5000 0.3229  2 Pt 2.73
Br 0.0000 0.0000 0.9173  2 Al 2.60